Entry 1:
# CsThAg2F8

An optimized crystal structure of CsThAg2F8 (PBE, Alexandria via LeMat-Bulk).

Output
**Uncorrected energy**: -59.0 eV/cell
**Formation energy without anion corrections**: -2.5019 eV per atom

```
12
Lattice="-5.2066 -0.0993 -3.3859 0.6554 -3.8830 4.8037 -3.5966 6.0168 5.3542" Properties=species:S:1:pos:R:3 pbc="T T T"
F -6.0084 1.7073 6.2157
F -4.5148 -1.7512 1.2964
F -3.6330 3.7857 5.4757
F -4.8568 0.2754 -1.2108
F -2.9213 0.0929 4.4896
F -3.2910 1.7591 7.9828
F -5.2265 1.9416 2.2825
F -2.1394 0.3272 0.5564
Th 0.0000 0.0000 0.0000
Cs -1.7983 3.0084 2.6771
Ag -3.7643 1.5031 5.7445
Ag -4.3835 0.5314 1.0276
```

Entry 2:
# CsTiAg2F8

An optimized crystal structure of CsTiAg2F8 (PBE, Alexandria via LeMat-Bulk).

Output
**Uncorrected energy**: -56.8 eV/cell
**Formation energy without anion corrections**: -2.2837 eV per atom

```
12
Lattice="5.6476 0.0000 0.0000 2.8238 4.8910 0.0000 2.8238 1.6303 7.8276" Properties=species:S:1:pos:R:3 pbc="T T T"
Ti 0.0000 0.0000 0.0000
F 4.3324 4.4232 1.0482
F 7.3120 3.8184 1.0482
F 2.8238 1.6303 3.2165
F 8.4715 4.8910 4.6111
F 6.9629 2.0981 6.7794
F 5.9968 4.9809 6.7794
F 3.9833 2.7029 6.7794
F 5.2985 1.5404 1.0482
Cs 5.6476 3.2606 3.9138
Ag 2.8238 1.6303 1.1442
Ag 8.4715 4.8910 6.6834
```

Entry 3:
# CsTlAg2F8

An optimized crystal structure of CsTlAg2F8 (PBE, Alexandria via LeMat-Bulk).

Output
**Uncorrected energy**: -43.4 eV/cell
**Formation energy without anion corrections**: -1.6265 eV per atom

```
12
Lattice="-0.1556 4.7315 -1.2284 -4.1886 -0.6548 -3.2911 -6.2569 1.1366 6.3865" Properties=species:S:1:pos:R:3 pbc="T T T"
Cs -3.1284 0.5683 3.1932
F -2.2247 4.1662 -0.7627
F -4.4814 0.5384 -1.4345
F -3.3486 2.5895 -3.1668
F -7.2525 2.6237 5.0337
F -3.7308 2.3655 0.9834
F -6.1197 4.6748 3.3014
F -8.3764 1.0470 2.6297
F -6.8703 2.8477 0.8836
Tl 0.0000 0.0000 0.0000
Ag -3.4546 2.4064 -1.0283
Ag -7.1465 2.8068 2.8952
```

Entry 4:
# CsTlAgF3

An optimized crystal structure of CsTlAgF3 (PBE, Alexandria via LeMat-Bulk).

Output
**Uncorrected energy**: -44.7 eV/cell
**Formation energy without anion corrections**: -1.7783 eV per atom

```
12
Lattice="-1.4719 2.0168 2.9051 -6.0307 -4.9675 0.3929 7.8425 -2.3594 5.6114" Properties=species:S:1:pos:R:3 pbc="T T T"
F -0.7175 -4.0984 3.7444
F -2.8764 -1.3019 3.2346
F 3.2162 -4.0082 5.6748
F 5.8949 -2.1176 5.7196
F -5.5551 -3.1925 3.1899
F 1.0573 -1.2117 5.1651
Ag 4.1215 -2.0565 7.3041
Ag -3.7817 -3.2536 1.6054
Tl 3.2977 -1.9614 4.2952
Tl -2.9578 -3.3487 4.6143
Cs 0.0051 -1.2987 2.1669
Cs 0.3348 -4.0114 6.7426
```

Entry 5:
# Cs4TlAg3F12

An optimized crystal structure of Cs4TlAg3F12 (PBE, Alexandria via LeMat-Bulk).

Output
**Uncorrected energy**: -76.8 eV/cell
**Formation energy without anion corrections**: -1.9981 eV per atom

```
20
Lattice="7.9269 0.0000 0.0000 -2.6423 7.4735 0.0000 -2.6423 -3.7368 6.4723" Properties=species:S:1:pos:R:3 pbc="T T T"
Cs -1.3211 -1.8684 3.2361
Cs 1.3211 1.8684 3.2361
Cs 3.9634 0.0000 0.0000
Cs -1.3211 3.7368 0.0000
F 1.3211 4.6710 1.6181
F 3.9634 2.8026 1.6181
F 3.9634 0.0000 3.2361
F 4.0162 5.6797 0.0000
F 4.0162 -2.8399 4.9188
F 1.3211 -0.9342 4.8542
F -1.2684 0.8969 1.5535
F 1.2684 1.7938 0.0000
F -1.3211 0.9342 4.8542
F 1.2684 -0.8969 1.5535
F -4.0162 2.8399 4.9188
F -1.3211 3.7368 3.2361
Tl 0.0000 0.0000 0.0000
Ag 2.6423 -1.8684 3.2361
Ag 2.6423 3.7368 0.0000
Ag -2.6423 1.8684 3.2361
```

Entry 6:
# Cs2TlAgF4

An optimized crystal structure of Cs2TlAgF4 (PBE, Alexandria via LeMat-Bulk).

Output
**Uncorrected energy**: -60.1 eV/cell
**Formation energy without anion corrections**: -1.9577 eV per atom

```
16
Lattice="4.0513 0.0000 0.0000 -2.0256 6.9889 0.0000 0.0000 0.0000 14.6464" Properties=species:S:1:pos:R:3 pbc="T T T"
F 0.0000 5.9899 10.9848
F 0.0000 3.8933 2.0738
F 0.0000 0.0000 0.0000
F 0.0000 0.0000 7.3232
F 2.0256 0.9990 3.6616
F 2.0256 3.0955 12.5726
F 0.0000 3.8933 5.2494
F 2.0256 3.0955 9.3970
Cs 2.0256 1.8364 0.6840
Cs 0.0000 5.1524 8.0072
Cs 0.0000 5.1524 13.9623
Cs 2.0256 1.8364 6.6392
Tl 0.0000 1.9306 10.9848
Tl 2.0256 5.0582 3.6616
Ag 0.0000 2.1045 3.6616
Ag 2.0256 4.8844 10.9848
```

Entry 7:
# CsTlAg2F6

An optimized crystal structure of CsTlAg2F6 (PBE, Alexandria via LeMat-Bulk).

Output
**Uncorrected energy**: -37.1 eV/cell
**Formation energy without anion corrections**: -1.6994 eV per atom

```
10
Lattice="-4.1313 -1.4230 4.6435 1.1339 -4.9277 3.8899 1.7813 1.3061 6.3649" Properties=species:S:1:pos:R:3 pbc="T T T"
Cs -1.2929 -4.2548 10.6880
F -2.8946 -3.8152 7.9939
F 0.9382 -0.9057 7.1067
F 0.3602 -4.7773 6.3540
F -1.3051 -0.9493 8.9326
F -1.6075 -1.8346 5.0543
F 0.8014 -2.9208 9.1771
Ag -0.8334 -2.8002 7.1633
Ag 1.6982 1.2030 6.2657
Tl -0.9036 -1.9995 2.9650
```

Entry 8:
# CsTl2AgF4

An optimized crystal structure of CsTl2AgF4 (PBE, Alexandria via LeMat-Bulk).

Output
**Uncorrected energy**: -59.6 eV/cell
**Formation energy without anion corrections**: -1.7344 eV per atom

```
16
Lattice="-6.3384 -3.1774 3.7575 4.5708 -5.0733 4.2142 1.3875 8.0480 0.2676" Properties=species:S:1:pos:R:3 pbc="T T T"
F 2.3820 -4.6962 4.2050
F -0.5792 -2.4363 6.1059
F 0.1991 2.2335 2.1335
F 1.9910 -0.4836 4.2934
F -2.3711 0.2809 3.9459
F 0.8050 5.7467 2.2457
F -1.1851 -5.9494 5.9936
F -2.7622 4.4934 4.0343
Cs 2.2854 -2.5367 2.1071
Cs -3.3593 -1.6900 5.9984
Tl -1.7817 6.4593 2.1464
Tl 0.5037 3.9226 4.2534
Tl -5.6447 0.8466 3.8913
Tl -2.4755 2.4353 2.0126
Ag 5.9583 2.9746 4.4818
Ag -0.1901 -0.1013 4.1196
```